Entry from Alexandria: a relaxed structure of CeHoGe2O8 (PBE-GGA).

Computed properties:
ΔE_f (raw): -28.60 eV per formula unit
total energy: -0.270 hartree per atom
space-group type: I-4, No. 82

Lattice parameters (Å, degrees): 6.6723 6.6723 6.6723 134.98 134.98 65.56
With the nearest neighbours (Å) after each atom.
Positions (direct):
Ce: 0.0000 0.0000 0.0000  8 O 2.34-2.41
Ho: 0.2500 0.7500 0.5000  8 O 2.33-2.40
Ge: 0.5000 0.5000 0.0000  4 O 1.79
Ge: 0.7500 0.2500 0.5000  4 O 1.79
O: 0.2616 0.6743 0.1000  1 Ge 1.79
O: 0.3257 0.4257 0.5873  1 Ge 1.79
O: 0.4127 0.0101 0.0856  1 Ge 1.79
O: 0.5743 0.1616 0.9000  1 Ge 1.79
O: 0.6729 0.5873 0.5974  1 Ge 1.79
O: 0.8384 0.7384 0.4127  1 Ge 1.79
O: 0.9245 0.3271 0.9144  1 Ge 1.79
O: 0.9899 0.0755 0.4026  1 Ge 1.79